No. 1
VASP calculation (PBEsol) on a relaxed MgPb3 crystal.

Cell and atoms, written as POSCAR:
```
MgPb3
1.0
-8.8377 2.1584 -0.2412
3.1576 -6.8291 -5.1201
-1.6706 -6.0531 7.0433
Mg Pb
6 18
direct
0.6734 0.6734 0.9308
0.0000 0.3266 0.9308
0.3266 0.0000 0.9308
0.3266 0.3266 0.4308
0.0000 0.6734 0.4308
0.6734 0.0000 0.4308
0.6101 0.6101 0.6046
0.0000 0.3899 0.6046
0.3899 0.0000 0.6046
0.3899 0.3899 0.1046
0.0000 0.6101 0.1046
0.6101 0.0000 0.1046
0.2771 0.2771 0.7575
0.0000 0.7229 0.7575
0.7229 0.0000 0.7575
0.7229 0.7229 0.2575
0.0000 0.2771 0.2575
0.2771 0.0000 0.2575
0.6667 0.3333 0.8622
0.3333 0.6667 0.3622
0.6667 0.3333 0.3622
0.3333 0.6667 0.8622
0.0000 0.0000 0.0157
0.0000 0.0000 0.5157
```

## Properties
- crystal system = hexagonal
- total energy (eV per atom) = -3.406
- symmetry = P6_3cm
- E_form (eV/f.u.) = 0.09
- total magnetic moment (Bohr magnetons per cell) = 0.00
- density (Mg/m³) = 9.51

No. 2
VASP calculation (PBEsol) on a relaxed Ta6V3Fe3C2 crystal.

Cell and atoms, written as POSCAR:
```
Ta6V3Fe3C2
1.0
8.0429 0.0000 0.0000
4.0215 7.0013 -0.0129
4.0215 2.3232 6.6047
Ta V Fe C
12 6 6 4
direct
0.8219 0.1781 0.1781
0.4334 0.5666 0.5666
0.8182 0.1808 0.5667
0.4344 0.5667 0.1808
0.4344 0.1808 0.5667
0.8182 0.5667 0.1808
0.1867 0.3133 0.3133
0.5675 0.9325 0.9325
0.1856 0.3125 0.9344
0.5675 0.9344 0.3125
0.5675 0.3125 0.9344
0.1856 0.9344 0.3125
0.1978 0.9574 0.6470
0.1978 0.6470 0.9574
0.1140 0.5453 0.5453
0.7955 0.5453 0.5453
0.7962 0.5473 0.8603
0.7962 0.8603 0.5473
0.4974 0.7505 0.7505
0.0017 0.7505 0.7505
0.9971 0.7525 0.2532
0.9971 0.2532 0.7525
0.8851 0.9571 0.9571
0.2006 0.9571 0.9571
0.9975 0.2496 0.2496
0.5032 0.2496 0.2496
0.5009 0.2486 0.7495
0.5009 0.7495 0.2486
```

## Properties
- crystal system = orthorhombic
- total energy (eV per atom) = -11.102
- symmetry = Imm2
- E_form (eV/f.u.) = -5.03
- total magnetic moment (Bohr magnetons per cell) = 4.96
- density (Mg/m³) = 12.76

No. 3
VASP calculation (PBEsol) on a relaxed Tl2SiAu crystal.

Cell and atoms, written as POSCAR:
```
Tl2SiAu
1.0
3.4972 0.0000 0.0290
0.0000 4.0379 0.0000
-1.0912 0.0000 6.1744
Au Si Tl
1 1 2
direct
0.5000 0.5000 0.0000
0.5000 0.5000 0.5000
0.9892 0.0000 0.7500
0.0108 0.0000 0.2500
```

## Properties
- crystal system = monoclinic
- total energy (eV per atom) = -3.383
- symmetry = P2/m
- polymorph energy (0 for the lowest one) (eV/atom) = 0.314
- total magnetic moment (Bohr magnetons per cell) = 0.00
- density (Mg/m³) = 12.05